No. 1
# LaMnRuI2

Crystalline LaMnRuI2 at its relaxed geometry (PBE, Alexandria via LeMat-Bulk).

Summary:
N(E_F): 0.88 states/eV per atom
ΔE to the lowest computed polymorph: 0 meV/atom
electronic total energy: -5.027 eV per atom
formation energy without anion corrections: 0.27 eV per atom
calculated density: 7.11 g/cm³

Cell lengths 5.236, 4.675, 5.236 Å; angles 90.00, 90.00, 90.00 degrees
Fractional positions:
I (0.500, 0.000, 0.000)
I (0.000, 0.000, 0.500)
Ru (0.000, 0.500, 0.000)
Mn (0.000, 0.000, 0.000)
La (0.500, 0.500, 0.500)

---

No. 2
# Tb2HoSbC

Crystalline Tb2HoSbC at its relaxed geometry (PBE, Alexandria via LeMat-Bulk).

Summary:
N(E_F): 0.58 states/eV per atom
electronic total energy: -6.054 eV per atom
formation energy without anion corrections: -0.62 eV per atom
calculated density: 8.79 g/cm³

Cell lengths 4.838, 4.905, 4.905 Å; angles 90.00, 90.00, 90.00 degrees
Fractional positions:
Sb (0.500, 0.500, 0.500)
Tb (0.000, 0.000, 0.500)
Tb (0.000, 0.500, 0.000)
Ho (0.500, 0.000, 0.000)
C (0.000, 0.000, 0.000)

---

No. 3
# Te2MoCl

Crystalline Te2MoCl at its relaxed geometry (PBE, Alexandria via LeMat-Bulk).

Summary:
N(E_F): 0.95 states/eV per atom
ΔE to the lowest computed polymorph: 365 meV/atom
electronic total energy: -4.541 eV per atom
formation energy without anion corrections: 0.20 eV per atom
calculated density: 6.20 g/cm³

Cell lengths 3.192, 3.192, 11.605 Å; angles 90.00, 90.00, 118.89 degrees
Fractional positions:
Te (0.000, 0.000, 0.936)
Te (0.500, 0.500, 0.240)
Cl (0.000, 0.000, 0.582)
Mo (0.500, 0.500, 0.742)

---

No. 4
# CaIrPtC2

Crystalline CaIrPtC2 at its relaxed geometry (PBE, Alexandria via LeMat-Bulk).

Summary:
N(E_F): 0.35 states/eV per atom
electronic total energy: -6.035 eV per atom
calculated density: 8.10 g/cm³
ΔH_f (0 K): 1035.1 meV per atom

Cell lengths 3.927, 6.001, 3.927 Å; angles 90.00, 90.00, 90.00 degrees
Fractional positions:
Pt (0.500, 0.500, 0.500)
C (0.500, 0.000, 0.000)
C (0.000, 0.000, 0.500)
Ca (0.000, 0.500, 0.000)
Ir (0.000, 0.000, 0.000)

---

No. 5
# K2YI

Crystalline K2YI at its relaxed geometry (PBE, Alexandria via LeMat-Bulk).

Summary:
N(E_F): 1.50 states/eV per atom
ΔE to the lowest computed polymorph: 0 meV/atom
electronic total energy: -2.536 eV per atom
formation energy without anion corrections: 0.02 eV per atom
calculated density: 2.50 g/cm³

Cell lengths 11.052, 11.052, 8.443 Å; angles 49.11, 49.11, 90.00 degrees
Fractional positions:
I (0.000, 0.000, 0.000)
I (0.750, 0.250, 0.500)
K (0.049, 0.625, 0.250)
K (0.701, 0.125, 0.250)
K (0.375, 0.299, 0.750)
K (0.875, 0.951, 0.750)
Y (0.500, 0.500, 0.000)
Y (0.250, 0.750, 0.500)

---

Which value of electronic total energy does entry 5 give?
-2.536 eV per atom

---

Number 1 is which compound?
LaMnRuI2

---

Number 2 is which compound?
Tb2HoSbC

---

Look up the N(E_F) of the second one.
0.58 states/eV per atom